Here is a relaxed La8PdPt3Br4 crystal from Alexandria. Energies are from PBE.

N(E_F) in states/eV/atom: 0.78
Formation energy without anion corrections in eV per formula unit: -20.51

abc: 8.5763 8.5763 23.5859
angles: 90.00 90.00 120.00
Space group R-3m (No. 166, hexagonal axes)
Inequivalent atoms, fractional coordinates:
La1 0.0000 0.0000 0.2331 (multiplicity 6)
La2 0.0029 0.5014 0.7665 (multiplicity 18)
Pd1 0.0000 0.0000 0.5000 (multiplicity 3)
Pt1 0.0000 0.5000 0.5000 (multiplicity 9)
Br1 0.0000 0.0000 0.0000 (multiplicity 3)
Br2 0.0000 0.5000 0.0000 (multiplicity 9)